No. 1
Entry from Alexandria via LeMat-Bulk: crystalline LaTb4Cu4 at its relaxed geometry (PBE).

Calculated values
Its formation energy is -0.034 eV per atom.

Lattice parameters (Å, degrees): 9.0986 9.0986 5.6490 90.00 90.00 90.00
Closest atoms and distances in Å follow each position.
Space group P4_2/n (No. 86, origin choice 2)
Asymmetric unit:
La: 0.2500 0.2500 0.2500 [2 per cell]  4 Cu 2.96
Tb: 0.0839 0.6574 0.1502 [8 per cell]  5 Cu 2.84-3.08
Cu: 0.0313 0.6022 0.6369 [8 per cell]  1 Cu 2.49

=====

No. 2
Entry from Alexandria via LeMat-Bulk: crystalline MnAlCl4 at its relaxed geometry (PBE).

Calculated values
Its energy above the most stable polymorph in this dataset is 0 kJ/mol of formula units. The uncorrected formation energy is -5.95 eV/f.u.

Lattice parameters (Å, degrees): 5.9486 5.9486 10.2368 90.00 90.00 90.00
Closest atoms and distances in Å follow each position.
Space group I-4 (No. 82)
Asymmetric unit:
Mn: 0.0000 0.0000 0.0000 [2 per cell]  4 Cl 2.42
Al: 0.0000 0.5000 0.2500 [2 per cell]  4 Cl 2.21
Cl: 0.2054 0.2728 0.1281 [8 per cell]  1 Al 2.21, 1 Mn 2.42

=====

No. 3
Entry from Alexandria via LeMat-Bulk: crystalline Ti2VReIr at its relaxed geometry (PBE).

Calculated values
Its formation energy is 0.991 eV per atom.

Lattice parameters (Å, degrees): 4.6679 4.6679 4.7890 90.00 90.00 90.00
Closest atoms and distances in Å follow each position.
Space group P4/mmm (No. 123)
Asymmetric unit:
Ti: 0.0000 0.5000 0.0000 [2 per cell]  2 Ir 2.33
V: 0.0000 0.0000 0.5000 [1 per cell]  4 Re 3.30, 8 Ti 3.34
Re: 0.5000 0.5000 0.5000 [1 per cell]  2 Ir 2.39
Ir: 0.5000 0.5000 0.0000 [1 per cell]  4 Ti 2.33, 2 Re 2.39

=====

No. 4
Entry from Alexandria via LeMat-Bulk: crystalline HgOs2Cl at its relaxed geometry (PBE).

Calculated values
Its energy above the most stable polymorph in this dataset is 226 kJ/mol of formula units. The uncorrected formation energy is 3.75 eV/f.u.

Lattice parameters (Å, degrees): 10.5265 2.8614 5.7305 90.00 120.10 90.00
Closest atoms and distances in Å follow each position.
Space group Cm (No. 8)
Asymmetric unit:
Hg: 0.0000 0.0000 0.0000 [2 per cell]  2 Hg 2.86, 5 Os 2.92-3.04, 1 Cl 3.16
Os: 0.2705 0.5000 0.4338 [2 per cell]  2 Os 2.50, 2 Cl 2.56
Os: 0.4575 0.0000 0.4082 [2 per cell]  2 Cl 2.49, 2 Os 2.50
Cl: 0.1756 0.0000 0.6853 [2 per cell]  4 Os 2.49-2.56

=====

No. 5
Entry from Alexandria via LeMat-Bulk: crystalline TlNi2Pd2 at its relaxed geometry (PBE).

Calculated values
Its energy above the most stable polymorph in this dataset is 19 kJ/mol of formula units. Its formation energy is 0.182 eV per atom.

Lattice parameters (Å, degrees): 3.4147 3.4147 13.8863 90.00 90.00 90.00
Closest atoms and distances in Å follow each position.
Space group I4/mmm (No. 139)
Asymmetric unit:
Tl: 0.0000 0.0000 0.0000 [2 per cell]  8 Pd 2.84
Ni: 0.0000 0.5000 0.2500 [4 per cell]  4 Ni 2.41, 4 Pd 2.61
Pd: 0.0000 0.0000 0.3919 [4 per cell]  4 Ni 2.61, 4 Tl 2.84

=====

No. 6
Entry from Alexandria via LeMat-Bulk: crystalline Y2HoEr at its relaxed geometry (PBE).

Calculated values
Its energy above the most stable polymorph in this dataset is 10 kJ/mol of formula units. Its formation energy is 0.026 eV per atom.

Lattice parameters (Å, degrees): 3.5449 3.5449 34.6645 90.00 90.00 120.00
Closest atoms and distances in Å follow each position.
Space group R-3m (No. 166, hexagonal axes)
Asymmetric unit:
Y: 0.0000 0.0000 0.2502 [6 per cell]  3 Er 3.54, 6 Y 3.54, 3 Ho 3.55
Ho: 0.0000 0.0000 0.5000 [3 per cell]  6 Ho 3.54, 6 Y 3.55
Er: 0.0000 0.0000 0.0000 [3 per cell]  6 Y 3.54, 6 Er 3.54

=====

What did the third record say?
Entry from Alexandria via LeMat-Bulk: crystalline Ti2VReIr at its relaxed geometry (PBE).

Calculated values
Its formation energy is 0.991 eV per atom.

Lattice parameters (Å, degrees): 4.6679 4.6679 4.7890 90.00 90.00 90.00
Closest atoms and distances in Å follow each position.
Space group P4/mmm (No. 123)
Asymmetric unit:
Ti: 0.0000 0.5000 0.0000 [2 per cell]  2 Ir 2.33
V: 0.0000 0.0000 0.5000 [1 per cell]  4 Re 3.30, 8 Ti 3.34
Re: 0.5000 0.5000 0.5000 [1 per cell]  2 Ir 2.39
Ir: 0.5000 0.5000 0.0000 [1 per cell]  4 Ti 2.33, 2 Re 2.39